# Hf2BeFeO (PBE+U, optimized geometry)
data_Hf2BeFeO
_space_group_name_H-M_alt 'P 4/m m m'
_space_group_IT_number 123
_space_group_name_Hall '-P 4 2'
_cell_length_a 4.473
_cell_length_b 4.473
_cell_length_c 3.291
_cell_angle_alpha 90.00
_cell_angle_beta 90.00
_cell_angle_gamma 90.00
loop_
_atom_site_label
_atom_site_type_symbol
_atom_site_fract_x
_atom_site_fract_y
_atom_site_fract_z
Hf1 Hf 0.000 0.500 0.000
Be1 Be 0.000 0.000 0.500
Fe1 Fe 0.500 0.500 0.500
O1 O 0.000 0.000 0.000
# N(E_F) = 0.478 states/eV/f.u.
# E_tot = -7.353 eV per atom